PBE with a Hubbard U Li11Mo12O24, optimized geometry; M_tot = 35.00 μB per cell; calculated total energy = -6.5192 eV/atom; SG = P-1, No. 2
1.0
6.902 0.000 0.000
-0.386 8.308 0.000
-1.011 -2.449 9.296
Li Mo O
11 12 24
Cartesian
0.000 0.000 0.000 Li
-0.699 2.929 4.648 Li
0.698 0.736 2.984 Li
0.208 3.399 8.036 Li
1.813 6.561 1.565 Li
1.544 1.138 6.487 Li
2.946 -1.225 4.648 Li
3.960 4.720 2.809 Li
3.692 -0.702 7.731 Li
5.296 2.460 1.260 Li
4.807 5.123 6.312 Li
-0.223 5.976 3.893 Mo
-0.433 0.513 8.518 Mo
0.584 6.408 6.988 Mo
1.284 3.605 2.298 Mo
2.025 4.112 5.401 Mo
2.744 1.217 0.763 Mo
2.761 4.642 8.533 Mo
3.480 1.746 3.895 Mo
4.220 2.253 6.998 Mo
4.921 -0.549 2.308 Mo
5.937 5.346 0.777 Mo
5.728 -0.118 5.403 Mo
-0.621 1.541 6.600 O
-0.325 7.076 2.013 O
-0.060 4.776 5.675 O
0.702 1.873 1.113 O
1.044 4.714 0.437 O
0.863 -0.724 5.129 O
1.425 2.448 4.140 O
0.712 5.317 8.879 O
1.786 5.335 3.551 O
1.588 -0.219 8.130 O
2.167 2.982 7.234 O
2.868 0.081 2.637 O
2.637 5.778 6.659 O
3.338 2.876 2.062 O
3.917 6.078 1.166 O
3.719 0.524 5.744 O
4.793 0.541 0.417 O
4.080 3.410 5.156 O
4.641 6.583 4.167 O
4.461 1.145 8.859 O
4.802 3.986 8.183 O
5.565 1.083 3.621 O
5.830 -1.218 7.283 O
6.126 4.318 2.695 O